A plane-wave DFT calculation with PBE with a Hubbard U was carried out for a geometry-optimized ZnFeO2 structure.

The structure belongs to space group C2/m (No. 12); the cell edges are 5.368, 3.053 and 5.401 Å and the angles 90.00°, 109.88° and 90.00°. The inequivalent atoms are Zn at (0.000, 0.000, 0.000), Fe at (0.000, 0.500, 0.500) and O at (0.246, 0.000, 0.754).

The total energy comes out at -44.21 eV per cell. The calculated volume is 10.40 Å³/atom. The density of states at the Fermi level is 0.0000 states/eV per atom.